## MnZnSnO4 (GGA+U)

Data for crystalline MnZnSnO4 at its relaxed geometry.

Lattice parameters (Å, degrees): 6.187 6.302 6.386 120.44 90.00 119.40
Last column: magnetic moment on the atom in μB.
Fractional coordinates of all 14 atoms:
Sn: 0.500 0.000 0.000  0.01
Zn: 0.857 0.714 0.107  0.02
O: 0.269 0.002 0.751  0.03
O: 0.732 0.463 0.243  0.04
O: 0.733 0.002 0.751  0.03
O: 0.267 0.998 0.249  0.03
O: 0.268 0.537 0.757  0.04
O: 0.731 0.998 0.249  0.03
Zn: 0.143 0.286 0.893  0.02
Sn: 0.500 0.000 0.500  0.01
O: 0.732 0.463 0.720  0.04
Mn: 0.000 0.500 0.500  4.62
Mn: 0.500 0.500 0.500  4.62
O: 0.268 0.537 0.280  0.04

Results
Its crystal system is orthorhombic. The value obtained for the density is 5.7 g/cm3. The total energy is -0.2292 hartree per atom. Its space group is Imma (74).